The following is a DFT calculation (PBE) of a geometry-optimized Pm3YCo8 structure.

Cell and atoms, written as POSCAR:
```
Pm3YCo8
1.0
-1.340 -4.948 0.308
1.715 -2.888 3.884
-6.607 -0.506 5.935
Pm Co Y
3 8 1
Cartesian
-5.645 -3.380 6.768
-6.604 -0.507 5.933
-3.119 -4.170 5.066
-5.024 -6.257 6.064
-1.760 -5.985 3.117
-5.939 -5.861 8.448
-3.507 -5.234 7.840
-4.172 -7.691 7.993
-0.241 -4.960 4.896
-2.815 -1.692 3.379
-1.094 -3.524 2.964
-2.145 -7.047 5.891
```

Results
Its spin magnetization is 7.51 μB/f.u. Its density of states at the Fermi level is 1.4977 states/eV/atom. The formation energy comes out at -1.116 eV per formula unit.

=====

The following is a DFT calculation (PBE) of a geometry-optimized Hg3SbP structure.

Cell and atoms, written as POSCAR:
```
Hg3SbP
1.0
5.737 0.000 0.000
0.000 5.737 0.000
0.000 0.000 5.737
P Sb Hg
1 1 3
Cartesian
2.868 2.868 2.868
0.000 0.000 0.000
0.000 0.000 2.868
2.868 0.000 0.000
0.000 2.868 0.000
```

Results
Its spin magnetization is 2.20 μB/f.u. As for the excess energy over the best structure of this formula in the dataset: 271 meV/atom. Its density of states at the Fermi level is 0.3962 states/eV/atom. The calculation puts the uncorrected formation energy at 702 meV/atom.

=====

The following is a DFT calculation (PBE) of a geometry-optimized YReOs structure.

Cell and atoms, written as POSCAR:
```
YReOs
1.0
-1.452 -1.439 -3.860
3.967 0.415 -4.119
1.173 -5.343 -0.921
Y Os Re
2 2 2
Cartesian
1.427 -3.676 -1.638
2.262 -2.690 -7.262
0.562 -0.932 -2.336
3.126 -5.435 -6.565
2.652 -4.247 -4.357
1.036 -2.119 -4.543
```

Results
Its spin magnetization is 0.00 μB/f.u. As for the excess energy over the best structure of this formula in the dataset: 100 meV/atom. Its density of states at the Fermi level is 0.5544 states/eV/atom. The formation energy comes out at -0.416 eV per formula unit.

=====

The following is a DFT calculation (PBE) of a geometry-optimized CsPtSe structure.

Cell and atoms, written as POSCAR:
```
CsPtSe
1.0
-1.168 -5.632 -0.419
0.514 0.210 -4.250
3.351 -0.883 2.523
Se Cs Pt
1 1 1
Cartesian
-0.195 -0.940 -0.070
0.681 -3.909 -2.272
2.211 -1.456 0.196
```

Results
Its spin magnetization is 0.00 μB/f.u. Its density of states at the Fermi level is 0.7854 states/eV/atom. The calculation puts the uncorrected formation energy at -565 meV/atom.

=====

The following is a DFT calculation (PBE) of a geometry-optimized LaMn2Co structure.

Cell and atoms, written as POSCAR:
```
LaMn2Co
1.0
0.000 3.192 3.192
3.192 0.000 3.192
3.192 3.192 0.000
Co Mn La
1 2 1
Cartesian
0.000 0.000 0.000
1.596 1.596 1.596
4.789 4.789 4.789
3.192 3.192 3.192
```

Results
Its spin magnetization is 6.43 μB/f.u. Its density of states at the Fermi level is 1.1322 states/eV/atom. The formation energy comes out at 1.880 eV per formula unit.

=====

The following is a DFT calculation (PBE) of a geometry-optimized TmPuRu structure.

Cell and atoms, written as POSCAR:
```
TmPuRu
1.0
-2.218 2.242 3.511
-4.661 -0.504 0.549
-1.694 -2.446 3.664
Ru Pu Tm
1 1 1
Cartesian
-2.143 -0.177 1.931
0.000 0.000 0.000
-4.287 -0.354 3.862
```

Results
Its spin magnetization is 5.06 μB/f.u. As for the excess energy over the best structure of this formula in the dataset: 123 meV/atom. Its density of states at the Fermi level is 3.2917 states/eV/atom. The formation energy comes out at -0.186 eV per formula unit.

=====

The following is a DFT calculation (PBE) of a geometry-optimized TaIrOs structure.

Cell and atoms, written as POSCAR:
```
TaIrOs
1.0
4.910 0.005 -0.001
2.547 4.198 0.001
-3.342 -2.787 2.274
Os Ta Ir
1 1 1
Cartesian
2.524 1.423 0.000
4.980 2.807 0.000
7.409 4.176 0.000
```

Results
Its spin magnetization is 0.00 μB/f.u. As for the excess energy over the best structure of this formula in the dataset: 148 meV/atom. Its density of states at the Fermi level is 1.1040 states/eV/atom. The formation energy comes out at -0.586 eV per formula unit.

=====

The following is a DFT calculation (PBE) of a geometry-optimized LiCa2AlTl structure.

Cell and atoms, written as POSCAR:
```
LiCa2AlTl
1.0
5.900 0.000 0.000
0.000 5.331 0.000
0.000 0.000 5.900
Ca Li Tl Al
2 1 1 1
Cartesian
0.000 0.000 2.950
2.950 0.000 0.000
2.950 2.666 2.950
0.000 2.666 0.000
0.000 0.000 0.000
```

Results
Its spin magnetization is 0.00 μB/f.u. Its density of states at the Fermi level is 0.6826 states/eV/atom. The formation energy comes out at 0.916 eV per formula unit.

=====

The following is a DFT calculation (PBE) of a geometry-optimized CuPb2AuO4 structure.

Cell and atoms, written as POSCAR:
```
CuPb2AuO4
1.0
-0.186 -3.613 -4.111
4.765 2.699 0.052
-0.374 -2.503 4.857
O Au Cu Pb
4 1 1 2
Cartesian
3.690 -1.103 1.563
2.681 -1.817 -2.722
1.130 -1.618 3.080
0.909 -2.296 -0.325
2.195 0.098 2.454
0.817 -3.009 1.600
0.000 0.000 0.000
3.387 -0.408 -0.802
```

Results
Its spin magnetization is 0.00 μB/f.u. Its density of states at the Fermi level is 0.4920 states/eV/atom. The calculation puts the uncorrected formation energy at -474 meV/atom.

=====

The following is a DFT calculation (PBE) of a geometry-optimized Sc3SbW structure.

Cell and atoms, written as POSCAR:
```
Sc3SbW
1.0
-0.846 -0.717 5.052
4.818 -1.801 0.551
1.683 4.796 0.962
Sc W Sb
3 1 1
Cartesian
2.409 -0.900 0.276
-0.423 -0.358 2.526
0.841 2.398 0.481
2.827 1.139 3.283
0.000 0.000 0.000
```

Results
Its spin magnetization is 0.00 μB/f.u. As for the excess energy over the best structure of this formula in the dataset: 709 meV/atom. Its density of states at the Fermi level is 2.1360 states/eV/atom. The calculation puts the uncorrected formation energy at 1098 meV/atom.

=====

The following is a DFT calculation (PBE) of a geometry-optimized Pr4Tm5Sc2 structure.

Cell and atoms, written as POSCAR:
```
Pr4Tm5Sc2
1.0
-2.140 0.464 2.686
-6.980 -3.579 -4.944
7.094 -8.595 4.902
Tm Pr Sc
5 4 2
Cartesian
2.743 -5.708 5.407
-4.770 -6.003 -2.764
-1.390 -7.827 2.480
-0.637 -3.884 0.163
-1.070 0.232 1.343
-2.027 -1.039 -1.436
-4.061 -3.557 -0.386
2.035 -8.154 3.030
-4.953 -2.540 -3.508
-3.399 -6.213 0.601
1.372 -5.497 2.043
```

Results
Its spin magnetization is 0.00 μB/f.u. As for the excess energy over the best structure of this formula in the dataset: 265 meV/atom. Its density of states at the Fermi level is 1.5220 states/eV/atom. The formation energy comes out at 3.738 eV per formula unit.

=====

The following is a DFT calculation (PBE) of a geometry-optimized CsAg4S3 structure.

Cell and atoms, written as POSCAR:
```
CsAg4S3
1.0
-1.857 -1.031 -3.833
3.571 -2.282 -1.116
-3.984 -8.268 4.154
Ag S Cs
4 3 1
Cartesian
-1.550 -8.064 2.921
-1.576 -1.861 -1.241
-4.264 -7.439 1.562
1.138 -2.486 0.118
0.000 0.000 0.000
-1.956 -7.496 0.459
-0.313 -4.085 -1.255
-1.992 -4.134 2.077
```

Results
Its spin magnetization is 0.00 μB/f.u. Its density of states at the Fermi level is 0.7408 states/eV/atom. The calculation puts the uncorrected formation energy at -257 meV/atom.

=====

Which value of spin magnetization does entry 9 give? 0.00 μB/f.u.